The following is a GGA-PBE calculation of a relaxed structure of PmSmAg, from Alexandria.

abc: 7.085 5.218 9.358
angles: 90.00 90.00 90.00
Space group Pnma (No. 62)
Symmetry-distinct sites (fractional):
Pm (0.157, 0.250, 0.082) x4
Sm (0.010, 0.250, 0.687) x4
Ag (0.232, 0.250, 0.403) x4

Results
- Energy relative to the lowest polymorph listed for this composition: 0.000 eV per atom
- Total energy: -4.2691 eV/atom
- Formation enthalpy at 0 K: -0.162 eV/atom


The following is a GGA-PBE calculation of a relaxed structure of PmPr4, from Alexandria.

abc: 8.281 8.281 5.242
angles: 90.00 90.00 90.00
Space group I4/m (No. 87)
Symmetry-distinct sites (fractional):
Pm (0.000, 0.000, 0.000) x2
Pr (0.100, 0.299, 0.500) x8

Results
- Energy relative to the lowest polymorph listed for this composition: 0.000 eV per atom
- Total energy: -4.7598 eV/atom
- Formation enthalpy at 0 K: 0.014 eV/atom


The following is a GGA-PBE calculation of a relaxed structure of MnTl2Mo, from Alexandria.

abc: 6.150 8.313 3.036
angles: 90.00 90.00 90.00
Space group Cmmm (No. 65)
Symmetry-distinct sites (fractional):
Mn (0.000, 0.000, 0.000) x2
Tl (0.250, 0.250, 0.500) x4
Mo (0.000, 0.500, 0.000) x2

Results
- Energy relative to the lowest polymorph listed for this composition: 0.261 eV per atom
- Total energy: -5.4726 eV/atom
- Formation enthalpy at 0 K: 0.711 eV/atom


The following is a GGA-PBE calculation of a relaxed structure of DyYPd2, from Alexandria.

abc: 7.036 7.036 7.036
angles: 90.00 90.00 90.00
Space group Fm-3m (No. 225)
Symmetry-distinct sites (fractional):
Dy (0.000, 0.000, 0.000) x4
Y (0.000, 0.000, 0.500) x4
Pd (0.250, 0.250, 0.250) x8

Results
- Energy relative to the lowest polymorph listed for this composition: 0.031 eV per atom
- Total energy: -6.2428 eV/atom
- Formation enthalpy at 0 K: -0.880 eV/atom


energy relative to the lowest polymorph listed for this composition of number 1 (PmSmAg)? 0.000 eV per atom


Which of these has the lowest formation enthalpy at 0 K? DyYPd2